[1]
TaSiRh2 after structural relaxation, computed with PBE.

Cell: 5.1499 5.1499 2.8215 Å, 104.36 104.36 115.49°
With the nearest neighbours (Å) after each atom.
Sites, in units of the cell vectors:
1 Ta 0.0000 0.0000 0.0000  4 Rh 2.61, 4 Si 2.75-2.88, 2 Ta 2.82
2 Si 0.5000 0.5000 0.0000  4 Rh 2.61, 4 Ta 2.75-2.88, 2 Si 2.82
3 Rh 0.0000 0.5000 0.5000  2 Ta 2.61, 2 Si 2.61, 6 Rh 2.75-2.88
4 Rh 0.5000 0.0000 0.5000  2 Ta 2.61, 2 Si 2.61, 6 Rh 2.75-2.88

Summary:
Total magnetic moment, μB/cell: 0.00
Formation energy from raw total energies, eV/f.u.: -1.2
SG: No. 12
Uncorrected energy, eV/atom: -8.30

***

[2]
Ta2SiRh after structural relaxation, computed with PBE.

Cell: 3.9358 5.6138 5.6138 Å, 30.92 90.00 90.00°
With the nearest neighbours (Å) after each atom.
Sites, in units of the cell vectors:
1 Ta 0.0000 0.0000 0.0000  4 Rh 2.74, 3 Si 2.75-3.06, 6 Ta 2.99-3.00
2 Ta 0.5000 0.3426 0.3426  4 Si 2.68, 3 Rh 2.88-2.94, 6 Ta 2.99-3.00
3 Si 0.0000 0.7461 0.7461  2 Rh 2.46, 5 Ta 2.68-2.75
4 Rh 0.5000 0.6091 0.6091  2 Si 2.46, 4 Ta 2.74

Summary:
Total magnetic moment, μB/cell: 0.00
Formation energy from raw total energies, eV/f.u.: -2.0
SG: No. 38
Uncorrected energy, eV/atom: -9.62

***

[3]
TaSi2Rh2 after structural relaxation, computed with PBE.

Cell: 7.1427 7.1427 2.7699 Å, 90.00 90.00 90.00°
With the nearest neighbours (Å) after each atom.
Sites, in units of the cell vectors:
1 Ta 0.0000 0.0000 0.0000  4 Si 2.73, 2 Ta 2.77, 8 Rh 3.05
2 Ta 0.5000 0.5000 0.0000  4 Si 2.73, 2 Ta 2.77, 8 Rh 3.05
3 Si 0.1477 0.3523 0.0000  6 Rh 2.47-2.54, 2 Ta 2.73
4 Si 0.3523 0.8523 0.0000  6 Rh 2.47-2.54, 2 Ta 2.73
5 Si 0.6477 0.1477 0.0000  6 Rh 2.47-2.54, 2 Ta 2.73
6 Si 0.8523 0.6477 0.0000  6 Rh 2.47-2.54, 2 Ta 2.73
7 Rh 0.1498 0.6498 0.5000  6 Si 2.47-2.54
8 Rh 0.3502 0.1498 0.5000  6 Si 2.47-2.54
9 Rh 0.6498 0.8502 0.5000  6 Si 2.47-2.54
10 Rh 0.8502 0.3502 0.5000  6 Si 2.47-2.54

Summary:
Total magnetic moment, μB/cell: 0.00
Formation energy from raw total energies, eV/f.u.: -3.0
SG: No. 127
Uncorrected energy, eV/atom: -8.08

***

[4]
Ta2SiRh after structural relaxation, computed with PBE.

Cell: 5.1075 5.1075 5.1075 Å, 141.07 130.83 64.42°
With the nearest neighbours (Å) after each atom.
Sites, in units of the cell vectors:
1 Ta 0.2491 0.2491 0.0000  4 Ta 2.72, 4 Si 2.74-3.04, 4 Rh 2.76-3.03
2 Ta 0.7509 0.7509 0.0000  4 Ta 2.72, 4 Si 2.74-3.04, 4 Rh 2.76-3.03
3 Si 0.0000 0.5000 0.5000  4 Rh 2.72, 8 Ta 2.74-3.04
4 Rh 0.5000 0.0000 0.5000  4 Si 2.72, 8 Ta 2.76-3.03

Summary:
Total magnetic moment, μB/cell: 0.00
Formation energy from raw total energies, eV/f.u.: -1.6
SG: No. 71
Uncorrected energy, eV/atom: -9.53

***

[5]
TaSiRh2 after structural relaxation, computed with PBE.

Cell: 13.5387 6.8661 5.0854 Å, 90.00 90.00 90.00°
With the nearest neighbours (Å) after each atom.
Sites, in units of the cell vectors:
1 Ta 0.1112 0.2500 0.2359  3 Si 2.67-2.75, 6 Rh 2.81-2.91
2 Ta 0.1361 0.7500 0.0208  3 Si 2.69-2.74, 6 Rh 2.81-2.89
3 Ta 0.3639 0.2500 0.5208  3 Si 2.69-2.74, 6 Rh 2.81-2.89
4 Ta 0.3888 0.7500 0.7359  3 Si 2.67-2.75, 6 Rh 2.81-2.91
5 Ta 0.6112 0.2500 0.2641  3 Si 2.67-2.75, 6 Rh 2.81-2.91
6 Ta 0.6361 0.7500 0.4792  3 Si 2.69-2.74, 6 Rh 2.81-2.89
7 Ta 0.8639 0.2500 0.9792  3 Si 2.69-2.74, 6 Rh 2.81-2.89
8 Ta 0.8888 0.7500 0.7641  3 Si 2.67-2.75, 6 Rh 2.81-2.91
9 Si 0.0700 0.7500 0.5216  6 Rh 2.43, 2 Ta 2.69-2.70
10 Si 0.1800 0.2500 0.7448  6 Rh 2.38-2.45, 1 Ta 2.67
11 Si 0.3200 0.7500 0.2448  6 Rh 2.38-2.45, 1 Ta 2.67
12 Si 0.4300 0.2500 0.0216  6 Rh 2.43, 2 Ta 2.69-2.70
13 Si 0.5700 0.7500 0.9784  6 Rh 2.43, 2 Ta 2.69-2.70
14 Si 0.6800 0.2500 0.7552  6 Rh 2.38-2.45, 1 Ta 2.67
15 Si 0.8200 0.7500 0.2552  6 Rh 2.38-2.45, 1 Ta 2.67
16 Si 0.9300 0.2500 0.4784  6 Rh 2.43, 2 Ta 2.69-2.70
17 Rh 0.0316 0.0468 0.7594  3 Si 2.43-2.45, 1 Rh 2.67
18 Rh 0.0316 0.4532 0.7594  3 Si 2.43-2.45, 1 Rh 2.67
19 Rh 0.2174 0.5489 0.5281  3 Si 2.38-2.43
20 Rh 0.2174 0.9511 0.5281  3 Si 2.38-2.43
21 Rh 0.2826 0.0489 0.0281  3 Si 2.38-2.43
22 Rh 0.2826 0.4511 0.0281  3 Si 2.38-2.43
23 Rh 0.4684 0.5468 0.2594  3 Si 2.43-2.45, 1 Rh 2.67
24 Rh 0.4684 0.9532 0.2594  3 Si 2.43-2.45, 1 Rh 2.67
25 Rh 0.5316 0.0468 0.7406  3 Si 2.43-2.45, 1 Rh 2.67
26 Rh 0.5316 0.4532 0.7406  3 Si 2.43-2.45, 1 Rh 2.67
27 Rh 0.7174 0.5489 0.9719  3 Si 2.38-2.43
28 Rh 0.7174 0.9511 0.9719  3 Si 2.38-2.43
29 Rh 0.7826 0.0489 0.4719  3 Si 2.38-2.43
30 Rh 0.7826 0.4511 0.4719  3 Si 2.38-2.43
31 Rh 0.9684 0.5468 0.2406  3 Si 2.43-2.45, 1 Rh 2.67
32 Rh 0.9684 0.9532 0.2406  3 Si 2.43-2.45, 1 Rh 2.67

Summary:
Total magnetic moment, μB/cell: 0.00
Formation energy from raw total energies, eV/f.u.: -2.8
SG: No. 62
Uncorrected energy, eV/atom: -8.69

***

[6]
TaSiRh2 after structural relaxation, computed with PBE.

Cell: 2.9028 2.9028 6.9538 Å, 90.00 90.00 90.00°
With the nearest neighbours (Å) after each atom.
Sites, in units of the cell vectors:
1 Ta 0.0000 0.0000 0.0000  4 Si 2.74, 4 Rh 2.75, 4 Ta 2.90
2 Si 0.5000 0.5000 0.7398  4 Rh 2.44
3 Rh 0.0000 0.0000 0.5510  4 Si 2.44
4 Rh 0.5000 0.5000 0.2631  4 Ta 2.75, 8 Rh 2.87-2.90

Summary:
Total magnetic moment, μB/cell: 0.00
Formation energy from raw total energies, eV/f.u.: -2.0
SG: No. 99
Uncorrected energy, eV/atom: -8.49

***

[7]
TaSiRh2 after structural relaxation, computed with PBE.

Cell: 4.6240 4.6240 2.8507 Å, 90.00 90.00 105.25°
With the nearest neighbours (Å) after each atom.
Sites, in units of the cell vectors:
1 Ta 0.0000 0.0000 0.0000  8 Rh 2.72, 2 Si 2.81, 2 Ta 2.85
2 Si 0.5000 0.5000 0.0000  8 Rh 2.72, 2 Ta 2.81, 2 Si 2.85
3 Rh 0.0000 0.5000 0.5000  4 Ta 2.72, 4 Si 2.72, 4 Rh 2.81-2.85
4 Rh 0.5000 0.0000 0.5000  4 Ta 2.72, 4 Si 2.72, 4 Rh 2.81-2.85

Summary:
Total magnetic moment, μB/cell: 0.00
Formation energy from raw total energies, eV/f.u.: -1.9
SG: No. 65
Uncorrected energy, eV/atom: -8.46

***

[8]
Ta2SiRh after structural relaxation, computed with PBE.

Cell: 2.8686 4.0196 5.4597 Å, 90.00 93.76 90.00°
With the nearest neighbours (Å) after each atom.
Sites, in units of the cell vectors:
1 Ta 0.0317 0.0000 0.2558  4 Ta 2.69-2.87, 4 Si 2.72-2.90, 4 Rh 2.83-2.84
2 Ta 0.9683 0.0000 0.7442  4 Ta 2.69-2.87, 4 Si 2.72-2.90, 4 Rh 2.83-2.84
3 Si 0.5000 0.5000 0.5000  8 Ta 2.72-2.90, 2 Rh 2.73, 2 Si 2.87
4 Rh 0.5000 0.5000 0.0000  2 Si 2.73, 8 Ta 2.83-2.84, 2 Rh 2.87

Summary:
Total magnetic moment, μB/cell: 0.00
Formation energy from raw total energies, eV/f.u.: -1.6
SG: No. 10
Uncorrected energy, eV/atom: -9.53

***

Q: What is the formation energy from raw total energies in the seventh record?
A: -1.9 eV/f.u.

***

Repeat the eighth record exactly.
Ta2SiRh after structural relaxation, computed with PBE.

Cell: 2.8686 4.0196 5.4597 Å, 90.00 93.76 90.00°
With the nearest neighbours (Å) after each atom.
Sites, in units of the cell vectors:
1 Ta 0.0317 0.0000 0.2558  4 Ta 2.69-2.87, 4 Si 2.72-2.90, 4 Rh 2.83-2.84
2 Ta 0.9683 0.0000 0.7442  4 Ta 2.69-2.87, 4 Si 2.72-2.90, 4 Rh 2.83-2.84
3 Si 0.5000 0.5000 0.5000  8 Ta 2.72-2.90, 2 Rh 2.73, 2 Si 2.87
4 Rh 0.5000 0.5000 0.0000  2 Si 2.73, 8 Ta 2.83-2.84, 2 Rh 2.87

Summary:
Total magnetic moment, μB/cell: 0.00
Formation energy from raw total energies, eV/f.u.: -1.6
SG: No. 10
Uncorrected energy, eV/atom: -9.53

***

Q: Among the records above, which one has the lowest formation energy from raw total energies?
A: TaSi2Rh2

***

Q: Which formula does entry 4 have?
A: Ta2SiRh